No. 1
Ce2Si3Ir: optimized geometry, PBE.

Energy above the most stable polymorph in this dataset, meV/atom: 30
E_form (uncorrected), eV/atom: -0.853

Unit cell a=4.027 b=4.172 c=7.115 alpha=90.00 beta=90.00 gamma=90.00
Fractional coordinates of all 6 atoms:
Ce1 0.000 0.500 0.004
Ce2 0.000 0.000 0.496
Si1 0.500 0.000 0.833
Si2 0.500 0.000 0.165
Si3 0.500 0.500 0.669
Ir1 0.500 0.500 0.333

No. 2
LuHg2Pd: optimized geometry, PBE.

Unit cell a=4.650 b=4.271 c=4.271 alpha=90.00 beta=90.00 gamma=90.00
Fractional coordinates of all 4 atoms:
Lu1 0.500 0.500 0.500
Hg1 0.000 0.000 0.500
Hg2 0.000 0.500 0.000
Pd1 0.500 0.000 0.000

No. 3
Rb2NaCd: optimized geometry, PBE.

Unit cell a=10.667 b=10.667 c=8.500 alpha=51.14 beta=51.14 gamma=90.00
Fractional coordinates of all 8 atoms:
Na1 0.500 0.500 0.000
Na2 0.250 0.750 0.500
Rb1 0.653 0.125 0.250
Rb2 0.097 0.625 0.250
Rb3 0.375 0.347 0.750
Rb4 0.875 0.903 0.750
Cd1 0.000 0.000 0.000
Cd2 0.750 0.250 0.500

No. 4
Pm2DyIr: optimized geometry, PBE.

Energy above the most stable polymorph in this dataset, meV/atom: 455

Unit cell a=3.796 b=3.796 c=10.889 alpha=79.96 beta=79.96 gamma=60.00
Fractional coordinates of all 4 atoms:
Ir1 0.500 0.500 0.500
Pm1 0.112 0.112 0.664
Pm2 0.888 0.888 0.336
Dy1 0.000 0.000 0.000

No. 5
NdY2InO: optimized geometry, PBE.

E_form (uncorrected), eV/atom: -1.417

Unit cell a=4.990 b=4.804 c=4.804 alpha=90.00 beta=90.00 gamma=90.00
Fractional coordinates of all 5 atoms:
Nd1 0.500 0.000 0.000
Y1 0.000 0.000 0.500
Y2 0.000 0.500 0.000
In1 0.500 0.500 0.500
O1 0.000 0.000 0.000

No. 6
TcBN2Cl: optimized geometry, PBE.

E_form (uncorrected), eV/atom: 1.317

Unit cell a=3.824 b=5.149 c=3.824 alpha=90.00 beta=90.00 gamma=90.00
Fractional coordinates of all 5 atoms:
B1 0.500 0.500 0.500
N1 0.000 0.000 0.500
N2 0.500 0.000 0.000
Tc1 0.000 0.000 0.000
Cl1 0.000 0.500 0.000

No. 7
ZrSc3Pt: optimized geometry, PBE.

Energy above the most stable polymorph in this dataset, meV/atom: 0

Unit cell a=5.058 b=5.058 c=5.058 alpha=90.00 beta=90.00 gamma=90.00
Fractional coordinates of all 5 atoms:
Sc1 0.000 0.500 0.000
Sc2 0.000 0.000 0.500
Sc3 0.500 0.000 0.000
Zr1 0.500 0.500 0.500
Pt1 0.000 0.000 0.000

No. 8
La2PmDy: optimized geometry, PBE.

Energy above the most stable polymorph in this dataset, meV/atom: 93

Unit cell a=5.850 b=5.850 c=5.850 alpha=60.00 beta=60.00 gamma=60.00
Fractional coordinates of all 4 atoms:
Pm1 0.500 0.500 0.500
La1 0.250 0.250 0.250
La2 0.750 0.750 0.750
Dy1 0.000 0.000 0.000

No. 9
Li6Sm2Pt3: optimized geometry, PBE.

Unit cell a=3.951 b=7.735 c=7.735 alpha=120.00 beta=90.00 gamma=90.00
Fractional coordinates of all 11 atoms:
Li1 0.500 0.742 0.742
Li2 0.500 0.000 0.258
Li3 0.000 0.208 0.208
Li4 0.000 0.792 0.000
Li5 0.500 0.258 0.000
Li6 0.000 0.000 0.792
Sm1 0.000 0.667 0.333
Sm2 0.000 0.333 0.667
Pt1 0.500 0.409 0.409
Pt2 0.500 0.591 0.000
Pt3 0.500 0.000 0.591

No. 10
Ba2Cd2Pb3: optimized geometry, PBE.

Unit cell a=5.278 b=8.164 c=11.630 alpha=90.00 beta=103.11 gamma=90.00
Fractional coordinates of all 14 atoms:
Ba1 0.158 0.250 0.316
Ba2 0.842 0.750 0.684
Ba3 0.953 0.250 0.906
Ba4 0.047 0.750 0.094
Cd1 0.691 0.945 0.382
Cd2 0.309 0.055 0.618
Cd3 0.309 0.445 0.618
Cd4 0.691 0.555 0.382
Pb1 0.219 0.750 0.437
Pb2 0.781 0.250 0.563
Pb3 0.564 0.436 0.128
Pb4 0.436 0.564 0.872
Pb5 0.436 0.936 0.872
Pb6 0.564 0.064 0.128

No. 11
K4SrCu: optimized geometry, PBE.

Unit cell a=7.890 b=7.890 c=7.890 alpha=60.00 beta=60.00 gamma=60.00
Fractional coordinates of all 6 atoms:
K1 0.878 0.374 0.374
K2 0.374 0.374 0.374
K3 0.374 0.374 0.878
K4 0.374 0.878 0.374
Sr1 0.750 0.750 0.750
Cu1 0.000 0.000 0.000

No. 12
SrNiRh2: optimized geometry, PBE.

Energy above the most stable polymorph in this dataset, meV/atom: 425

Unit cell a=4.630 b=4.630 c=4.630 alpha=60.00 beta=60.00 gamma=60.00
Fractional coordinates of all 4 atoms:
Ni1 0.500 0.500 0.500
Rh1 0.000 0.000 0.000
Rh2 0.750 0.750 0.750
Sr1 0.250 0.250 0.250

No. 13
LaGeRh4: optimized geometry, PBE.

Unit cell a=3.989 b=6.623 c=8.128 alpha=90.00 beta=104.21 gamma=90.00
Fractional coordinates of all 12 atoms:
La1 0.100 0.250 0.200
La2 0.900 0.750 0.800
Ge1 0.232 0.750 0.463
Ge2 0.768 0.250 0.537
Rh1 0.500 0.500 0.000
Rh2 0.500 0.000 0.000
Rh3 0.680 0.951 0.361
Rh4 0.320 0.049 0.639
Rh5 0.320 0.451 0.639
Rh6 0.680 0.549 0.361
Rh7 0.079 0.750 0.158
Rh8 0.921 0.250 0.842

No. 14
SrAl3Au2: optimized geometry, PBE.

Energy above the most stable polymorph in this dataset, meV/atom: 48

Unit cell a=4.320 b=8.091 c=8.458 alpha=112.42 beta=90.00 gamma=105.48
Fractional coordinates of all 12 atoms:
Sr1 0.852 0.704 0.918
Sr2 0.148 0.296 0.082
Al1 0.324 0.648 0.559
Al2 0.983 0.965 0.650
Al3 0.620 0.240 0.730
Al4 0.380 0.760 0.270
Al5 0.017 0.035 0.350
Al6 0.676 0.352 0.441
Au1 0.485 0.970 0.822
Au2 0.515 0.030 0.178
Au3 0.825 0.651 0.368
Au4 0.175 0.349 0.632

No. 15
LaTb6Ho12: optimized geometry, PBE.

Energy above the most stable polymorph in this dataset, meV/atom: 0

Unit cell a=8.518 b=8.518 c=8.518 alpha=88.49 beta=88.49 gamma=88.49
Fractional coordinates of all 19 atoms:
La1 0.000 0.000 0.000
Tb1 0.743 0.909 0.315
Tb2 0.685 0.257 0.091
Tb3 0.091 0.685 0.257
Tb4 0.257 0.091 0.685
Tb5 0.315 0.743 0.909
Tb6 0.909 0.315 0.743
Ho1 0.772 0.545 0.436
Ho2 0.436 0.772 0.545
Ho3 0.545 0.436 0.772
Ho4 0.228 0.455 0.564
Ho5 0.564 0.228 0.455
Ho6 0.455 0.564 0.228
Ho7 0.009 0.213 0.354
Ho8 0.787 0.646 0.991
Ho9 0.646 0.991 0.787
Ho10 0.991 0.787 0.646
Ho11 0.213 0.354 0.009
Ho12 0.354 0.009 0.213

No. 16
RbCaTmBr6: optimized geometry, PBE.

E_form (uncorrected), eV/atom: -1.932

Unit cell a=7.443 b=7.443 c=15.068 alpha=90.00 beta=90.00 gamma=120.00
Fractional coordinates of all 18 atoms:
Rb1 0.000 0.000 0.000
Rb2 0.000 0.000 0.500
Ca1 0.333 0.667 0.250
Ca2 0.667 0.333 0.750
Tm1 0.667 0.333 0.250
Tm2 0.333 0.667 0.750
Br1 0.632 0.619 0.142
Br2 0.986 0.368 0.142
Br3 0.368 0.986 0.642
Br4 0.014 0.632 0.858
Br5 0.381 0.368 0.358
Br6 0.986 0.619 0.358
Br7 0.619 0.986 0.858
Br8 0.632 0.014 0.358
Br9 0.014 0.381 0.642
Br10 0.381 0.014 0.142
Br11 0.619 0.632 0.642
Br12 0.368 0.381 0.858

No. 17
Y6CdRu5: optimized geometry, PBE.

Unit cell a=4.895 b=6.962 c=7.701 alpha=90.00 beta=108.44 gamma=90.00
Fractional coordinates of all 12 atoms:
Y1 0.827 0.744 0.655
Y2 0.827 0.256 0.655
Y3 0.500 0.265 0.000
Y4 0.500 0.735 0.000
Y5 0.173 0.744 0.345
Y6 0.173 0.256 0.345
Ru1 0.666 0.500 0.332
Ru2 0.337 0.000 0.673
Ru3 0.000 0.500 0.000
Ru4 0.663 0.000 0.327
Ru5 0.334 0.500 0.668
Cd1 0.000 0.000 0.000

No. 18
AsBr2: optimized geometry, PBE.

Energy above the most stable polymorph in this dataset, meV/atom: 467
E_form (uncorrected), eV/atom: 0.191

Unit cell a=8.606 b=8.606 c=3.626 alpha=90.00 beta=90.00 gamma=120.00
Fractional coordinates of all 9 atoms:
As1 0.333 0.667 0.000
As2 0.667 0.333 0.000
As3 0.000 0.000 0.500
Br1 0.229 0.000 0.000
Br2 0.000 0.229 0.000
Br3 0.771 0.771 0.000
Br4 0.551 0.000 0.500
Br5 0.000 0.551 0.500
Br6 0.449 0.449 0.500

No. 19
CrRu2W: optimized geometry, PBE.

Energy above the most stable polymorph in this dataset, meV/atom: 129

Unit cell a=5.172 b=5.172 c=5.172 alpha=147.66 beta=129.76 gamma=61.02
Fractional coordinates of all 4 atoms:
Cr1 0.250 0.750 0.500
Ru1 0.025 0.025 0.000
Ru2 0.475 0.475 0.000
W1 0.750 0.250 0.500

No. 20
Ca2Ac2Nd15: optimized geometry, PBE.

Unit cell a=9.053 b=9.053 c=9.053 alpha=82.94 beta=82.94 gamma=82.94
Fractional coordinates of all 19 atoms:
Ca1 0.656 0.656 0.656
Ca2 0.344 0.344 0.344
Ac1 0.893 0.893 0.893
Ac2 0.107 0.107 0.107
Nd1 0.000 0.500 0.000
Nd2 0.000 0.000 0.500
Nd3 0.500 0.000 0.000
Nd4 0.307 0.000 0.693
Nd5 0.693 0.307 0.000
Nd6 0.000 0.693 0.307
Nd7 0.307 0.693 0.000
Nd8 0.000 0.307 0.693
Nd9 0.693 0.000 0.307
Nd10 0.358 0.842 0.358
Nd11 0.358 0.358 0.842
Nd12 0.842 0.358 0.358
Nd13 0.642 0.158 0.642
Nd14 0.642 0.642 0.158
Nd15 0.158 0.642 0.642

Number 1: electronic total energy -7.02 eV/atom, magnetization 0.00 μB/f.u.. Number 2: electronic total energy -2.97 eV/atom, magnetization 0.00 μB/f.u.. Number 3: electronic total energy -0.94 eV/atom, magnetization 0.00 μB/f.u.. Number 4: electronic total energy -5.79 eV/atom, magnetization 0.49 μB/f.u.. Number 5: electronic total energy -6.50 eV/atom, magnetization 0.00 μB/f.u.. Number 6: electronic total energy -5.79 eV/atom, magnetization 0.00 μB/f.u.. Number 7: electronic total energy -6.81 eV/atom, magnetization 1.28 μB/f.u.. Number 8: electronic total energy -4.70 eV/atom, magnetization 0.01 μB/f.u.. Number 9: electronic total energy -4.09 eV/atom, magnetization 0.00 μB/f.u.. Number 10: electronic total energy -2.79 eV/atom, magnetization 0.00 μB/f.u.. Number 11: electronic total energy -1.23 eV/atom, magnetization 0.00 μB/f.u.. Number 12: electronic total energy -5.19 eV/atom, magnetization 1.85 μB/f.u.. Number 13: electronic total energy -7.01 eV/atom, magnetization 0.00 μB/f.u.. Number 14: electronic total energy -3.76 eV/atom, magnetization 0.00 μB/f.u.. Number 15: electronic total energy -4.46 eV/atom, magnetization 0.00 μB/f.u.. Number 16: electronic total energy -3.87 eV/atom, magnetization 0.00 μB/f.u.. Number 17: electronic total energy -7.49 eV/atom, magnetization 0.00 μB/f.u.. Number 18: electronic total energy -2.47 eV/atom, magnetization 0.00 μB/f.u.. Number 19: electronic total energy -10.07 eV/atom, magnetization 0.00 μB/f.u.. Number 20: electronic total energy -4.18 eV/atom, magnetization 0.00 μB/f.u..